Entry from the Alexandria database: a relaxed structure of TaBe12 (PBEsol).

formation energy from the elements	-0.13	eV/atom

a = 7.2728 Å, b = 7.2728 Å, c = 4.1922 Å
α = 90.00°, β = 90.00°, γ = 90.00°
Last column: nearest neighbours and their distance in Å.
Space group I4/mmm (No. 139)
Asymmetric unit:
Ta 0.0000 0.0000 0.0000 [2 per cell]  20 Be 2.56-2.78
Be 0.0000 0.2159 0.5000 [8 per cell]  10 Be 2.11-2.33
Be 0.0000 0.3519 0.0000 [8 per cell]  9 Be 2.15-2.33
Be 0.2500 0.2500 0.2500 [8 per cell]  10 Be 2.10-2.23

---

Entry from the Alexandria database: a relaxed structure of CoTc2Hg (PBEsol).

formation energy from the elements	0.43	eV/atom

a = 8.8560 Å, b = 2.7701 Å, c = 4.8269 Å
α = 90.00°, β = 100.74°, γ = 90.00°
Last column: nearest neighbours and their distance in Å.
Space group Cm (No. 8)
Asymmetric unit:
Co 0.0000 0.0000 0.0000 [2 per cell]  4 Tc 2.50-2.57, 3 Hg 2.70-2.75, 2 Co 2.77
Tc 0.2334 0.5000 0.2337 [2 per cell]  5 Tc 2.55-2.77, 3 Co 2.57-2.80, 4 Hg 2.77-2.80
Tc 0.4830 0.0000 0.4231 [2 per cell]  2 Co 2.50, 5 Tc 2.55-2.77
Hg 0.2448 0.0000 0.7411 [2 per cell]  3 Co 2.70-2.75, 7 Tc 2.77-2.88, 2 Hg 2.77

---

Entry from the Alexandria database: a relaxed structure of ZnFe2O4 (PBEsol).

polymorph energy (0 for the lowest one)	0	meV/atom
raw formation energy	-1.30	eV/atom

a = 8.0760 Å, b = 8.0760 Å, c = 8.0760 Å
α = 90.00°, β = 90.00°, γ = 90.00°
Last column: nearest neighbours and their distance in Å.
Space group Fd-3m (No. 227, origin choice 2)
Asymmetric unit:
Zn 0.1250 0.1250 0.1250 [8 per cell]  4 O 1.94
Fe 0.0000 0.0000 0.5000 [16 per cell]  6 O 1.92
O 0.0134 0.0134 0.7366 [32 per cell]  3 Fe 1.92, 1 Zn 1.94

---

Entry from the Alexandria database: a relaxed structure of ZrMnAs2 (PBEsol).

formation energy from the elements	-0.34	eV/atom

a = 6.3882 Å, b = 6.3882 Å, c = 6.3882 Å
α = 90.00°, β = 90.00°, γ = 90.00°
Last column: nearest neighbours and their distance in Å.
Space group Fm-3m (No. 225)
Asymmetric unit:
Zr 0.0000 0.0000 0.0000 [4 per cell]  8 As 2.77
Mn 0.0000 0.0000 0.5000 [4 per cell]  8 As 2.77
As 0.2500 0.2500 0.2500 [8 per cell]  4 Zr 2.77, 4 Mn 2.77

---

Entry from the Alexandria database: a relaxed structure of Nb3PdPt (PBEsol).

formation energy from the elements	1.21	eV/atom

a = 4.8041 Å, b = 4.8041 Å, c = 4.8041 Å
α = 90.00°, β = 90.00°, γ = 90.00°
Last column: nearest neighbours and their distance in Å.
Space group Pm-3m (No. 221)
Asymmetric unit:
Nb 0.0000 0.0000 0.5000 [3 per cell]  2 Pt 2.40
Pd 0.5000 0.5000 0.5000 [1 per cell]  12 Nb 3.40
Pt 0.0000 0.0000 0.0000 [1 per cell]  6 Nb 2.40

---

Entry from the Alexandria database: a relaxed structure of InGa2PtN (PBEsol).

raw formation energy	0.25	eV/atom

a = 4.0410 Å, b = 4.0410 Å, c = 4.7772 Å
α = 90.00°, β = 90.00°, γ = 90.00°
Last column: nearest neighbours and their distance in Å.
Space group P4/mmm (No. 123)
Asymmetric unit:
In 0.0000 0.0000 0.0000 [1 per cell]  2 N 2.39
Ga 0.0000 0.5000 0.5000 [2 per cell]  2 N 2.02
Pt 0.5000 0.5000 0.0000 [1 per cell]  4 In 2.86, 8 Ga 3.13
N 0.0000 0.0000 0.5000 [1 per cell]  4 Ga 2.02

---

Entry from the Alexandria database: a relaxed structure of Ca3Cd (PBEsol).

formation energy from the elements	-0.11	eV/atom

a = 7.1484 Å, b = 7.1484 Å, c = 11.6112 Å
α = 90.00°, β = 90.00°, γ = 120.00°
Last column: nearest neighbours and their distance in Å.
Space group P6_3/mmc (No. 194)
Asymmetric unit:
Ca 0.0000 0.5000 0.0000 [6 per cell]  4 Cd 3.56-3.57, 8 Ca 3.57-3.58
Ca 0.1621 0.3242 0.2500 [6 per cell]  8 Ca 3.48-3.67, 4 Cd 3.53-3.57
Cd 0.0000 0.0000 0.0000 [2 per cell]  12 Ca 3.53-3.57
Cd 0.3333 0.6667 0.7500 [2 per cell]  12 Ca 3.56-3.57

---

Entry from the Alexandria database: a relaxed structure of La2Os (PBEsol).

formation energy from the elements	-0.03	eV/atom

a = 6.6182 Å, b = 6.6199 Å, c = 4.2714 Å
α = 90.00°, β = 90.00°, γ = 90.00°
Last column: nearest neighbours and their distance in Å.
Space group Pnnm (No. 58)
Asymmetric unit:
La 0.1628 0.2289 0.0000 [4 per cell]  3 Os 2.83-2.86
Os 0.0000 0.0000 0.5000 [2 per cell]  6 La 2.83-2.86

---

Entry from the Alexandria database: a relaxed structure of MoPb2 (PBEsol).

formation energy from the elements	0.87	eV/atom

a = 5.0882 Å, b = 5.0882 Å, c = 3.0069 Å
α = 90.00°, β = 90.00°, γ = 120.00°
Last column: nearest neighbours and their distance in Å.
Space group P-3m1 (No. 164)
Asymmetric unit:
Mo 0.0000 0.0000 0.0000 [1 per cell]  2 Mo 3.01, 6 Pb 3.04
Pb 0.3333 0.6667 0.2542 [2 per cell]  8 Pb 3.01-3.31, 3 Mo 3.04

---

Entry from the Alexandria database: a relaxed structure of Cu3Ni2 (PBEsol).

polymorph energy (0 for the lowest one)	0	meV/atom
formation energy from the elements	0.00	eV/atom

a = 2.4759 Å, b = 2.4759 Å, c = 30.5458 Å
α = 90.00°, β = 90.00°, γ = 120.00°
Last column: nearest neighbours and their distance in Å.
Space group R-3m (No. 166, hexagonal axes)
Asymmetric unit:
Cu 0.0000 0.0000 0.0000 [3 per cell]  6 Cu 2.48, 6 Ni 2.48
Cu 0.0000 0.0000 0.2006 [6 per cell]  9 Cu 2.48-2.52, 3 Ni 2.48
Ni 0.0000 0.0000 0.3998 [6 per cell]  6 Ni 2.48, 6 Cu 2.48

---

Entry from the Alexandria database: a relaxed structure of TaMo (PBEsol).

formation energy from the elements	-0.11	eV/atom

a = 4.5314 Å, b = 4.5314 Å, c = 21.9903 Å
α = 90.00°, β = 90.00°, γ = 120.00°
Last column: nearest neighbours and their distance in Å.
Space group R3m (No. 160, hexagonal axes)
Asymmetric unit:
Ta 0.0000 0.0000 0.0000 [3 per cell]  1 Mo 2.74, 7 Ta 2.77-2.82
Ta 0.0000 0.0000 0.1283 [3 per cell]  7 Mo 2.70-2.77, 1 Ta 2.82
Ta 0.0000 0.0000 0.3786 [3 per cell]  5 Mo 2.74-2.80, 3 Ta 2.80
Ta 0.0000 0.0000 0.6251 [3 per cell]  5 Mo 2.68-2.81, 3 Ta 2.77
Mo 0.0000 0.0000 0.2512 [3 per cell]  5 Ta 2.70-2.80, 3 Mo 2.78
Mo 0.0000 0.0000 0.5032 [3 per cell]  5 Ta 2.68-2.77, 3 Mo 2.75
Mo 0.0000 0.0000 0.7529 [3 per cell]  1 Mo 2.69, 7 Ta 2.77-2.81
Mo 0.0000 0.0000 0.8754 [3 per cell]  7 Mo 2.69-2.78, 1 Ta 2.74

---

Entry from the Alexandria database: a relaxed structure of FeHgB2 (PBEsol).

formation energy from the elements	0.47	eV/atom

a = 3.7062 Å, b = 3.7062 Å, c = 13.7084 Å
α = 90.00°, β = 90.00°, γ = 90.00°
Last column: nearest neighbours and their distance in Å.
Space group I4_1/amd (No. 141, origin choice 2)
Asymmetric unit:
Fe 0.0000 0.2500 0.3750 [4 per cell]  4 B 1.95
Hg 0.0000 0.2500 0.8750 [4 per cell]  4 Fe 2.62, 8 B 2.69
B 0.0000 0.0000 0.5000 [8 per cell]  2 B 1.85, 2 Fe 1.95